A PBEsol-optimized structure of KZn2Co, computed with SCAN.

* N(E_F): 2.622 states/eV per cell
* ΔH_f (0 K): 360 meV per atom
* offset from the most stable computed form: 0.00 kcal/mol of atoms
* volume: 70.04 Å³/cell

extended XYZ file:
```
4
Lattice="2.965 0.000 0.000 0.000 2.965 0.000 0.000 0.000 7.967" Properties=species:S:1:pos:R:3 pbc="T T T"
K 0.000 0.000 0.000
Zn 1.482 1.482 2.679
Zn 1.482 1.482 5.288
Co 0.000 0.000 3.984
```